A plane-wave DFT calculation with GGA-PBE was carried out for a geometry-optimized Sr2CdPb2 structure.

excess energy over the best structure of this formula in the dataset = 0.0000 eV/atom
DFT formation energy = -0.471 eV/atom
DOS(E_F) = 1.72 states/eV/f.u.

abc: 5.133 6.673 11.042
angles: 82.10 76.56 67.38
Positions (direct):
1 Sr 0.320 0.256 0.104
2 Sr 0.510 0.310 0.669
3 Sr 0.680 0.744 0.896
4 Sr 0.490 0.690 0.331
5 Cd 0.783 0.099 0.336
6 Cd 0.217 0.901 0.664
7 Pb 0.969 0.175 0.886
8 Pb 0.146 0.265 0.444
9 Pb 0.031 0.825 0.114
10 Pb 0.854 0.735 0.556

A plane-wave DFT calculation with GGA-PBE was carried out for a geometry-optimized ScWBr2 structure.

excess energy over the best structure of this formula in the dataset = 0.7361 eV/atom
uncorrected formation energy = 405 meV per atom
DOS(E_F) = 4.24 states/eV/f.u.

abc: 5.612 5.612 3.432
angles: 70.52 70.52 107.93
Last column: magnetic moment on the atom in μB.
Positions (direct):
1 Br 0.000 0.000 0.000  0.02
2 Br 0.500 0.500 0.000  0.02
3 Sc 0.500 0.000 0.500  -0.07
4 W 0.000 0.500 0.500  1.27

A plane-wave DFT calculation with GGA-PBE was carried out for a geometry-optimized Tb3Cd2Pt3 structure.

excess energy over the best structure of this formula in the dataset = 0.0533 eV/atom
DFT formation energy = -0.871 eV/atom
DOS(E_F) = 3.90 states/eV/f.u.

abc: 3.506 4.871 10.732
angles: 103.12 99.40 90.00
Positions (direct):
1 Tb 0.622 0.622 0.243
2 Tb 0.378 0.378 0.757
3 Tb 0.500 0.000 0.000
4 Cd 0.732 0.232 0.465
5 Cd 0.268 0.768 0.535
6 Pt 0.116 0.116 0.232
7 Pt 0.000 0.500 0.000
8 Pt 0.884 0.884 0.768

A plane-wave DFT calculation with GGA-PBE was carried out for a geometry-optimized Mo3RhPb structure.

excess energy over the best structure of this formula in the dataset = 0.0000 eV/atom
DFT formation energy = 1.502 eV/atom
DOS(E_F) = 5.22 states/eV/f.u.

abc: 4.775 4.775 4.775
angles: 90.00 90.00 90.00
Last column: magnetic moment on the atom in μB.
Positions (direct):
1 Pb 0.500 0.500 0.500  -0.01
2 Mo 0.000 0.500 0.000  0.66
3 Mo 0.000 0.000 0.500  0.72
4 Mo 0.500 0.000 0.000  0.77
5 Rh 0.000 0.000 0.000  -0.05

A plane-wave DFT calculation with GGA-PBE was carried out for a geometry-optimized Pa3Cr3Si8 structure.

uncorrected formation energy = -316 meV per atom
DOS(E_F) = 12.57 states/eV/f.u.

abc: 3.911 8.433 8.371
angles: 120.25 103.51 90.00
Last column: magnetic moment on the atom in μB.
Positions (direct):
1 Pa 0.500 0.500 0.000  -0.09
2 Pa 0.219 0.219 0.439  -0.03
3 Pa 0.781 0.781 0.561  -0.03
4 Cr 0.500 0.000 0.000  -0.40
5 Cr 0.000 0.826 0.000  0.36
6 Cr 0.000 0.174 0.000  0.36
7 Si 0.380 0.081 0.761  0.00
8 Si 0.620 0.919 0.239  0.00
9 Si 0.380 0.679 0.761  0.00
10 Si 0.620 0.321 0.239  0.00
11 Si 0.138 0.780 0.277  0.00
12 Si 0.862 0.220 0.723  0.00
13 Si 0.138 0.497 0.277  0.00
14 Si 0.862 0.503 0.723  0.00

A plane-wave DFT calculation with GGA-PBE was carried out for a geometry-optimized CaAs3O structure.

excess energy over the best structure of this formula in the dataset = 0.0000 eV/atom
uncorrected formation energy = -314 meV per atom
DOS(E_F) = 2.67 states/eV/f.u.

abc: 4.521 4.521 4.521
angles: 90.00 90.00 90.00
Positions (direct):
1 As 0.000 0.500 0.000
2 As 0.000 0.000 0.500
3 As 0.500 0.000 0.000
4 Ca 0.500 0.500 0.500
5 O 0.000 0.000 0.000

no.,size of the total moment (μB per atom)
1,0.000
2,0.381
3,0.000
4,0.462
5,0.008
6,0.000